No. 1
Here is crystalline BaNi2Pb at its relaxed geometry from the Alexandria database. Energies are from GGA-PBE.

abc: 4.2152 4.2488 5.8472
angles: 70.54 90.00 90.00
Closest atoms and distances in Å follow each position.
Fractional positions:
Ba (0.5000, 0.7692, 0.8012)  6 Ni 3.08-3.44
Ni (0.0000, 0.1145, 0.0781)  2 Ni 2.34
Ni (0.5000, 0.1295, 0.2495)  2 Ni 2.34
Pb (0.0000, 0.4867, 0.3713)  4 Ni 2.65-2.82

formation energy from the elements = 52 meV per atom
energy above the most stable polymorph in this dataset = 0.144 eV/atom
SG = No. 6



No. 2
Here is crystalline Ce3Th2S8 at its relaxed geometry from the Alexandria database. Energies are from GGA-PBE.

abc: 4.7762 9.6202 8.3414
angles: 125.22 90.00 90.00
Closest atoms and distances in Å follow each position.
Fractional positions:
Ce (0.5000, 0.0000, 0.0000)  8 S 2.90-2.91
Ce (0.0000, 0.2734, 0.0000)  8 S 2.80-3.11
Ce (0.0000, 0.7266, 0.0000)  8 S 2.80-3.11
Th (0.5000, 0.2609, 0.5218)  8 S 2.82-3.05
Th (0.5000, 0.7391, 0.4782)  8 S 2.82-3.05
S (0.0000, 0.6287, 0.2573)  2 Ce 2.80, 2 Th 2.82
S (0.0000, 0.3713, 0.7427)  2 Ce 2.80, 2 Th 2.82
S (0.0000, 0.1221, 0.2443)  4 Ce 2.91-3.11, 2 Th 3.05
S (0.0000, 0.8779, 0.7557)  4 Ce 2.91-3.11, 2 Th 3.05
S (0.5000, 0.6308, 0.7498)  3 Ce 2.90-2.95, 2 Th 2.91-2.99
S (0.5000, 0.1190, 0.7498)  3 Ce 2.90-2.95, 2 Th 2.91-2.99
S (0.5000, 0.8810, 0.2502)  3 Ce 2.90-2.95, 2 Th 2.91-2.99
S (0.5000, 0.3692, 0.2502)  3 Ce 2.90-2.95, 2 Th 2.91-2.99

E_form (uncorrected) = -1.896 eV/atom
SG = No. 65



No. 3
Here is crystalline TaSiMoS2 at its relaxed geometry from the Alexandria database. Energies are from GGA-PBE.

abc: 4.5003 4.9304 4.5003
angles: 90.00 90.00 90.00
Closest atoms and distances in Å follow each position.
Fractional positions:
Mo (0.0000, 0.0000, 0.0000)  4 S 2.25, 2 Si 2.47
Si (0.0000, 0.5000, 0.0000)  2 Mo 2.47
S (0.0000, 0.0000, 0.5000)  2 Mo 2.25
S (0.5000, 0.0000, 0.0000)  2 Mo 2.25
Ta (0.5000, 0.5000, 0.5000)  4 Si 3.18, 8 S 3.34

E_form (uncorrected) = 0.962 eV/atom
SG = No. 123



No. 4
Here is crystalline Cs2Li2TbBr6 at its relaxed geometry from the Alexandria database. Energies are from GGA-PBE.

abc: 8.1474 7.8391 8.1215
angles: 108.32 90.00 121.31
Closest atoms and distances in Å follow each position.
Fractional positions:
Cs (0.7020, 0.4040, 0.1735)  7 Br 3.71-3.99
Cs (0.2980, 0.5960, 0.8265)  7 Br 3.71-3.99
Li (0.9289, 0.8578, 0.7232)  3 Br 2.42-2.45
Li (0.0711, 0.1422, 0.2768)  3 Br 2.42-2.45
Tb (0.5000, 0.0000, 0.5000)  6 Br 2.91-2.95
Br (0.7366, 0.4731, 0.6477)  1 Li 2.42
Br (0.2096, 0.9219, 0.2291)  1 Li 2.45
Br (0.2877, 0.0781, 0.7709)  1 Li 2.45
Br (0.7904, 0.0781, 0.7709)  1 Li 2.45
Br (0.7123, 0.9219, 0.2291)  1 Li 2.45
Br (0.2634, 0.5269, 0.3523)  1 Li 2.42

E_form (uncorrected) = -1.567 eV/atom
SG = No. 12



No. 5
Here is crystalline Pa2NbPN6 at its relaxed geometry from the Alexandria database. Energies are from GGA-PBE.

abc: 4.4911 5.2347 5.2347
angles: 90.00 90.00 90.00
Closest atoms and distances in Å follow each position.
Fractional positions:
Pa (0.0297, 0.5000, 0.0000)  4 N 2.35
Pa (0.0297, 0.0000, 0.5000)  4 N 2.35
Nb (0.5975, 0.5000, 0.5000)  5 N 2.05-2.09
P (0.5863, 0.0000, 0.0000)  5 N 1.64-1.77
N (0.7104, 0.2268, 0.2268)  1 P 1.77
N (0.7104, 0.2268, 0.7732)  1 P 1.77
N (0.1416, 0.5000, 0.5000)  1 Nb 2.05
N (0.2205, 0.0000, 0.0000)  1 P 1.64
N (0.7104, 0.7732, 0.7732)  1 P 1.77
N (0.7104, 0.7732, 0.2268)  1 P 1.77

E_form (uncorrected) = -0.890 eV/atom
SG = No. 99



No. 6
Here is crystalline Pu2TlO6 at its relaxed geometry from the Alexandria database. Energies are from GGA-PBE.

abc: 5.8631 5.8631 5.7884
angles: 90.00 90.00 120.00
Closest atoms and distances in Å follow each position.
Fractional positions:
Pu (0.3333, 0.6667, 0.5000)  6 O 2.11
Pu (0.6667, 0.3333, 0.5000)  6 O 2.11
Tl (0.0000, 0.0000, 0.0000)  6 O 2.90
O (0.6186, 0.0000, 0.3178)  2 Pu 2.11
O (0.3814, 0.3814, 0.3178)  2 Pu 2.11
O (0.0000, 0.6186, 0.3178)  2 Pu 2.11
O (0.6186, 0.6186, 0.6822)  2 Pu 2.11
O (0.0000, 0.3814, 0.6822)  2 Pu 2.11
O (0.3814, 0.0000, 0.6822)  2 Pu 2.11

E_form (uncorrected) = -2.301 eV/atom
energy above the most stable polymorph in this dataset = 0.021 eV/atom
SG = No. 162



No. 7
Here is crystalline AlReHg2 at its relaxed geometry from the Alexandria database. Energies are from GGA-PBE.

abc: 5.5846 5.5846 5.5846
angles: 144.76 132.45 60.55
Closest atoms and distances in Å follow each position.
Fractional positions:
Re (0.4747, 0.4747, 0.0000)  2 Al 2.55, 4 Hg 2.84
Hg (0.0122, 0.0122, 0.0000)  4 Re 2.84, 2 Al 3.06, 4 Hg 3.12-3.15
Hg (0.7363, 0.2363, 0.5000)  4 Al 2.84, 2 Re 3.04, 4 Hg 3.12-3.15
Al (0.2768, 0.7768, 0.5000)  2 Re 2.55, 4 Hg 2.84

formation energy from the elements = 561 meV per atom
SG = No. 44



No. 8
Here is crystalline CoPOs2 at its relaxed geometry from the Alexandria database. Energies are from GGA-PBE.

abc: 2.7878 2.7878 8.0980
angles: 90.00 90.00 119.29
Closest atoms and distances in Å follow each position.
Fractional positions:
Co (0.5000, 0.5000, 0.7500)  4 Os 2.60, 6 Co 2.79-2.82
Os (0.0000, 0.0000, 0.0197)  2 P 2.34, 2 Co 2.60
Os (0.0000, 0.0000, 0.4803)  2 P 2.34, 2 Co 2.60
P (0.5000, 0.5000, 0.2500)  4 Os 2.34

formation energy from the elements = 548 meV per atom
SG = No. 65



So what do the calculations give for Fermi-level density of states? Going down the list: 4.8 14.3 7.7 1.4 6.6 10.9 2.3 4.9 states/eV per cell.
So what do the calculations give for electronic total energy? Going down the list: -0.1560 -0.2553 -0.2319 -0.1251 -0.3430 -0.3327 -0.1337 -0.3012 Ha/atom.
So what do the calculations give for total magnetic moment? Going down the list: 0.000 0.279 0.000 0.087 0.000 0.556 0.000 0.488 μB/atom.